# 1
Material: PaAsRhN
Method: DFT, GGA-PBE
State: optimized geometry

Summary:
E = -34.83 eV per formula unit
V = 129.9 Å³/cell
E_form (uncorrected) = -1.25 eV per atom
Fermi-level density of states = 5.1 states/eV per cell

abc: 3.9797 3.9797 8.2045
angles: 90.00 90.00 90.00
Space group P4/nmm (No. 129, origin choice 2)
Inequivalent atoms, fractional coordinates:
Pa: 0.2500 0.2500 0.1427
As: 0.2500 0.2500 0.6788
Rh: 0.2500 0.7500 0.5000
N: 0.2500 0.7500 0.0000

# 2
Material: Pa2As2RuN2
Method: DFT, GGA-PBE
State: optimized geometry

Summary:
E = -53.67 eV per formula unit
V = 149.7 Å³/cell
E_form (uncorrected) = 0.08 eV per atom
Fermi-level density of states = 4.7 states/eV per cell

abc: 5.0027 5.0027 6.9074
angles: 90.00 90.00 120.00
Space group P-3m1 (No. 164)
Inequivalent atoms, fractional coordinates:
Pa: 0.3333 0.6667 0.1894
As: 0.0000 0.0000 0.1734
Ru: 0.0000 0.0000 0.5000
N: 0.3333 0.6667 0.9092

# 3
Material: PaAsRuN
Method: DFT, GGA-PBE
State: optimized geometry

Summary:
E = -36.37 eV per formula unit
V = 129.8 Å³/cell
E_form (uncorrected) = -1.16 eV per atom
Fermi-level density of states = 7.1 states/eV per cell

abc: 4.0641 4.0641 7.8592
angles: 90.00 90.00 90.00
Space group P4/nmm (No. 129, origin choice 2)
Inequivalent atoms, fractional coordinates:
Pa: 0.2500 0.2500 0.1434
As: 0.2500 0.2500 0.6693
Ru: 0.2500 0.7500 0.5000
N: 0.2500 0.7500 0.0000

# 4
Material: PaSb2AsN
Method: DFT, GGA-PBE
State: optimized geometry

Summary:
E = -34.02 eV per formula unit
V = 239.0 Å³/cell
E_form (uncorrected) = -0.66 eV per atom
Fermi-level density of states = 3.8 states/eV per cell

abc: 3.9332 3.9332 15.4498
angles: 90.00 90.00 90.00
Space group P4/nmm (No. 129, origin choice 2)
Inequivalent atoms, fractional coordinates:
Pa: 0.2500 0.2500 0.0766
Sb: 0.2500 0.2500 0.4170
Sb: 0.2500 0.2500 0.8131
As: 0.2500 0.2500 0.6397
N: 0.2500 0.7500 0.0000

# 5
Material: Pa2SbAs2N2
Method: DFT, GGA-PBE
State: optimized geometry

Summary:
E = -53.90 eV per formula unit
V = 151.0 Å³/cell
E_form (uncorrected) = -0.69 eV per atom
Fermi-level density of states = 4.2 states/eV per cell

abc: 3.7853 3.7853 12.1653
angles: 90.00 90.00 120.00
Space group P-3m1 (No. 164)
Inequivalent atoms, fractional coordinates:
Pa: 0.3333 0.6667 0.2732
Sb: 0.0000 0.0000 0.5000
As: 0.0000 0.0000 0.0936
N: 0.3333 0.6667 0.7126

# 6
Material: PaSbAs2N
Method: DFT, GGA-PBE
State: optimized geometry

Summary:
E = -34.95 eV per formula unit
V = 221.1 Å³/cell
E_form (uncorrected) = -0.74 eV per atom
Fermi-level density of states = 1.9 states/eV per cell

abc: 3.8757 3.8757 14.7221
angles: 90.00 90.00 90.00
Space group P4/nmm (No. 129, origin choice 2)
Inequivalent atoms, fractional coordinates:
Pa: 0.2500 0.2500 0.0829
Sb: 0.2500 0.2500 0.6403
As: 0.2500 0.2500 0.4121
As: 0.2500 0.2500 0.8214
N: 0.2500 0.7500 0.0000

# 7
Material: ScPaAs2N
Method: DFT, GGA-PBE
State: optimized geometry

Summary:
E = -39.67 eV per formula unit
V = 196.4 Å³/cell
E_form (uncorrected) = -1.24 eV per atom
Fermi-level density of states = 4.6 states/eV per cell

abc: 3.8700 3.8700 13.1118
angles: 90.00 90.00 90.00
Space group P4/nmm (No. 129, origin choice 2)
Inequivalent atoms, fractional coordinates:
Sc: 0.2500 0.2500 0.0969
Pa: 0.2500 0.2500 0.5933
As: 0.2500 0.2500 0.3000
As: 0.2500 0.2500 0.8841
N: 0.2500 0.7500 0.5000

# 8
Material: PaAsSe2N
Method: DFT, GGA-PBE
State: optimized geometry

Summary:
E = -34.49 eV per formula unit
V = 203.2 Å³/cell
E_form (uncorrected) = -1.01 eV per atom
Fermi-level density of states = 5.8 states/eV per cell

abc: 3.8962 3.8962 13.3847
angles: 90.00 90.00 90.00
Space group P4/nmm (No. 129, origin choice 2)
Inequivalent atoms, fractional coordinates:
Pa: 0.2500 0.2500 0.0905
As: 0.2500 0.2500 0.5985
Se: 0.2500 0.2500 0.3982
Se: 0.2500 0.2500 0.8022
N: 0.2500 0.7500 0.0000